Record 1
Below is a geometry-optimized ReSi2W structure, with properties calculated at the PBE level.

Geometry as CIF:
```
data_ReSi2W
_chemical_formula_sum 'Re4 Si8 W4'
_cell_length_a 6.167
_cell_length_b 6.167
_cell_length_c 6.167
_cell_angle_alpha 90.00
_cell_angle_beta 90.00
_cell_angle_gamma 90.00
_symmetry_space_group_name_H-M 'F -4 3 m'
_symmetry_Int_Tables_number 216
_symmetry_space_group_name_Hall 'F -4 2 3'
loop_
_atom_site_label
_atom_site_type_symbol
_atom_site_fract_x
_atom_site_fract_y
_atom_site_fract_z
Re1 Re 0.000 0.000 0.000
Si1 Si 0.000 0.000 0.500
Si2 Si 0.250 0.250 0.250
W1 W 0.250 0.250 0.750
```

Calculated values
- Raw formation energy: 0.2407 eV/atom
- Distance to the lowest polymorph of the same formula: 0.543 eV per atom

=====

Record 2
Below is a geometry-optimized TaTl2Cl structure, with properties calculated at the PBE level.

Geometry as CIF:
```
data_TaTl2Cl
_chemical_formula_sum 'Ta1 Tl2 Cl1'
_cell_length_a 3.269
_cell_length_b 4.854
_cell_length_c 5.920
_cell_angle_alpha 90.00
_cell_angle_beta 105.91
_cell_angle_gamma 90.00
_symmetry_space_group_name_H-M 'P 1 m 1'
_symmetry_Int_Tables_number 6
_symmetry_space_group_name_Hall 'P -2y'
loop_
_atom_site_label
_atom_site_type_symbol
_atom_site_fract_x
_atom_site_fract_y
_atom_site_fract_z
Ta1 Ta 0.000 0.000 0.000
Tl1 Tl 0.262 0.000 0.521
Tl2 Tl 0.573 0.500 0.147
Cl1 Cl 0.852 0.500 0.703
```

Calculated values
- Raw formation energy: 0.2205 eV/atom
- Distance to the lowest polymorph of the same formula: 0.314 eV per atom

=====

Record 3
Below is a geometry-optimized SrYOs2 structure, with properties calculated at the PBE level.

Geometry as CIF:
```
data_SrYOs2
_chemical_formula_sum 'Sr4 Y4 Os8'
_cell_length_a 6.984
_cell_length_b 6.984
_cell_length_c 6.984
_cell_angle_alpha 90.00
_cell_angle_beta 90.00
_cell_angle_gamma 90.00
_symmetry_space_group_name_H-M 'F m -3 m'
_symmetry_Int_Tables_number 225
_symmetry_space_group_name_Hall '-F 4 2 3'
loop_
_atom_site_label
_atom_site_type_symbol
_atom_site_fract_x
_atom_site_fract_y
_atom_site_fract_z
Sr1 Sr 0.000 0.000 0.000
Y1 Y 0.000 0.000 0.500
Os1 Os 0.250 0.250 0.250
```

Calculated values
- Calculated formation energy: 0.7142 eV/atom
- Distance to the lowest polymorph of the same formula: 0.575 eV per atom

=====

Record 4
Below is a geometry-optimized AcErPu structure, with properties calculated at the PBE level.

Geometry as CIF:
```
data_AcErPu
_chemical_formula_sum 'Ac2 Er2 Pu2'
_cell_length_a 3.695
_cell_length_b 3.695
_cell_length_c 14.980
_cell_angle_alpha 90.00
_cell_angle_beta 90.00
_cell_angle_gamma 90.00
_symmetry_space_group_name_H-M 'I 4 m m'
_symmetry_Int_Tables_number 107
_symmetry_space_group_name_Hall 'I 4 -2'
loop_
_atom_site_label
_atom_site_type_symbol
_atom_site_fract_x
_atom_site_fract_y
_atom_site_fract_z
Ac1 Ac 0.000 0.000 0.000
Er1 Er 0.000 0.000 0.676
Pu1 Pu 0.000 0.000 0.327
```

Calculated values
- Calculated formation energy: 0.1819 eV/atom
- Distance to the lowest polymorph of the same formula: 0.000 eV per atom

=====

Record 5
Below is a geometry-optimized MgCd2In4 structure, with properties calculated at the PBE level.

Geometry as CIF:
```
data_MgCd2In4
_chemical_formula_sum 'Mg3 Cd6 In12'
_cell_length_a 3.2354
_cell_length_b 3.2354
_cell_length_c 59.6996
_cell_angle_alpha 90.00
_cell_angle_beta 90.00
_cell_angle_gamma 120.00
_symmetry_space_group_name_H-M 'R -3 m'
_symmetry_Int_Tables_number 166
_symmetry_space_group_name_Hall '-R 3 2"'
loop_
_atom_site_label
_atom_site_type_symbol
_atom_site_fract_x
_atom_site_fract_y
_atom_site_fract_z
Mg1 Mg 0.0000 0.0000 0.0000
Cd1 Cd 0.0000 0.0000 0.2392
In1 In 0.0000 0.0000 0.1418
In2 In 0.0000 0.0000 0.2896
```

Calculated values
- Calculated formation energy: 0.0338 eV/atom
- Distance to the lowest polymorph of the same formula: 0.000 eV per atom

=====

Record 6
Below is a geometry-optimized Sm4Er3Sb4 structure, with properties calculated at the PBE level.

Geometry as CIF:
```
data_Sm4Er3Sb4
_chemical_formula_sum 'Sm8 Er6 Sb8'
_cell_length_a 4.019
_cell_length_b 9.071
_cell_length_c 17.753
_cell_angle_alpha 90.00
_cell_angle_beta 90.00
_cell_angle_gamma 90.00
_symmetry_space_group_name_H-M 'I m m m'
_symmetry_Int_Tables_number 71
_symmetry_space_group_name_Hall '-I 2 2'
loop_
_atom_site_label
_atom_site_type_symbol
_atom_site_fract_x
_atom_site_fract_y
_atom_site_fract_z
Sm1 Sm 0.000 0.176 0.168
Er1 Er 0.000 0.000 0.404
Er2 Er 0.000 0.500 0.500
Sb1 Sb 0.000 0.291 0.000
Sb2 Sb 0.000 0.500 0.227
```

Calculated values
- Raw formation energy: -0.7532 eV/atom

=====

no.,total magnetic moment (μB per atom)
1,0.00
2,0.00
3,0.00
4,2.08
5,0.00
6,0.00